The following is a GGA-PBE calculation of crystalline NdBePt at its relaxed geometry, from Alexandria.

Output
**Space group**: P2_13 (198)
**Formation energy from the elements**: -2.132 eV/f.u.

Unit cell a=6.201 b=6.201 c=6.201 alpha=90.00 beta=90.00 gamma=90.00
Atoms (fractional coordinates):
Pt  0.326  0.674  0.174
Pt  0.174  0.326  0.674
Pt  0.674  0.174  0.326
Pt  0.826  0.826  0.826
Be  0.409  0.409  0.409
Be  0.091  0.591  0.909
Be  0.909  0.091  0.591
Be  0.591  0.909  0.091
Nd  0.118  0.118  0.118
Nd  0.618  0.382  0.882
Nd  0.382  0.882  0.618
Nd  0.882  0.618  0.382

=====

The following is a GGA-PBE calculation of crystalline AsRuPt2 at its relaxed geometry, from Alexandria.

Output
**Space group**: Amm2 (38)
**Formation energy from the elements**: -0.175 eV/f.u.

Unit cell a=3.767 b=2.905 c=5.857 alpha=75.62 beta=90.00 gamma=90.00
Atoms (fractional coordinates):
Ru  0.000  0.541  0.543
As  0.500  0.961  0.702
Pt  0.000  0.813  0.999
Pt  0.500  0.184  0.256

=====

The following is a GGA-PBE calculation of crystalline Pm3Si2Au7 at its relaxed geometry, from Alexandria.

Output
**Space group**: I4/mmm (139)
**Formation energy from raw total energies**: -0.52 eV per atom

Unit cell a=4.296 b=4.296 c=14.303 alpha=98.64 beta=98.64 gamma=90.00
Atoms (fractional coordinates):
Pm  0.328  0.328  0.656
Pm  0.672  0.672  0.344
Pm  0.500  0.500  0.000
Si  0.131  0.131  0.263
Si  0.869  0.869  0.737
Au  0.000  0.000  0.000
Au  0.918  0.418  0.836
Au  0.418  0.918  0.836
Au  0.082  0.582  0.164
Au  0.582  0.082  0.164
Au  0.220  0.220  0.441
Au  0.780  0.780  0.559

=====

The following is a GGA-PBE calculation of crystalline NdGaPt3 at its relaxed geometry, from Alexandria.

Output
**Space group**: Pnma (62)
**Formation energy from the elements**: -4.193 eV/f.u.

Unit cell a=4.144 b=8.454 c=10.751 alpha=90.00 beta=90.00 gamma=90.00
Atoms (fractional coordinates):
Nd  0.750  0.819  0.009
Nd  0.250  0.681  0.509
Nd  0.750  0.319  0.491
Nd  0.250  0.181  0.991
Ga  0.250  0.111  0.639
Ga  0.250  0.611  0.861
Ga  0.750  0.389  0.139
Ga  0.750  0.889  0.361
Pt  0.250  0.569  0.090
Pt  0.750  0.431  0.910
Pt  0.250  0.069  0.410
Pt  0.750  0.931  0.590
Pt  0.250  0.392  0.706
Pt  0.750  0.108  0.206
Pt  0.250  0.892  0.794
Pt  0.750  0.646  0.713
Pt  0.250  0.354  0.287
Pt  0.750  0.146  0.787
Pt  0.750  0.608  0.294
Pt  0.250  0.854  0.213

=====

Number 1: spin magnetization 0.00 μB per formula unit. Number 2: spin magnetization 0.00 μB per formula unit. Number 3: spin magnetization 0.00 μB per formula unit. Number 4: spin magnetization 0.00 μB per formula unit.